A geometry-optimized Zr3CuMo structure, computed with GGA-PBE.

Values from the calculation:
M_tot ... 0.0 Bohr magnetons per cell
Symmetry ... No. 221
DFT total energy ... -0.264 hartree per atom
Formation energy ... 88.48 kJ per mole of atoms

Cell lengths 5.0244, 5.0244, 5.0244 Å; angles 90.00, 90.00, 90.00 degrees
Closest atoms and distances in Å follow each position.
Fractional positions:
Zr  0.0000  0.0000  0.5000  2 Mo 2.51
Zr  0.0000  0.5000  0.0000  2 Mo 2.51
Zr  0.5000  0.0000  0.0000  2 Mo 2.51
Cu  0.5000  0.5000  0.5000  12 Zr 3.55
Mo  0.0000  0.0000  0.0000  6 Zr 2.51